1.
VASP calculation (PBE) on a relaxed structure of CrSeCl2.

Cell: 5.322 5.069 4.670 Å, 66.10 60.55 53.35°
Positions (direct):
Cr 0.000 0.000 0.000
Se 0.500 0.500 0.500
Cl 0.000 0.500 0.500
Cl 0.500 0.000 0.000

Output
The final energy comes out at -0.1542 Ha/atom. As for the calculated density: 3.86 Mg/m³. As for the magnetization: 4.0 μB per formula unit. The calculation puts the formation energy without anion corrections at 0.005 eV per atom. As for the space group: No. 69.

2.
VASP calculation (PBE) on a relaxed structure of CrSeCl2.

Cell: 3.490 6.555 6.555 Å, 42.25 90.00 90.00°
Positions (direct):
Cr 0.000 0.000 0.000
Se 0.500 0.132 0.132
Cl 0.000 0.469 0.469
Cl 0.500 0.860 0.860

Output
The final energy comes out at -0.1775 Ha/atom. As for the calculated density: 3.32 Mg/m³. As for the magnetization: 2.0 μB per formula unit. The calculation puts the formation energy without anion corrections at -0.629 eV per atom. As for the space group: No. 38.

3.
VASP calculation (PBE) on a relaxed structure of Cr2SeCl.

Cell: 3.337 3.337 6.850 Å, 90.00 90.00 90.00°
Positions (direct):
Cr 0.000 0.000 0.222
Cr 0.000 0.000 0.778
Se 0.500 0.500 0.000
Cl 0.500 0.500 0.500

Output
The final energy comes out at -0.2241 Ha/atom. As for the calculated density: 4.76 Mg/m³. As for the magnetization: 9.0 μB per formula unit. The calculation puts the formation energy without anion corrections at 0.045 eV per atom. As for the space group: No. 123.

4.
VASP calculation (PBE) on a relaxed structure of Cr2SeCl.

Cell: 7.000 7.000 3.611 Å, 90.07 90.07 29.74°
Positions (direct):
Cr 0.000 0.000 0.000
Cr 0.736 0.736 0.503
Se 0.541 0.541 0.500
Cl 0.276 0.276 0.003

Output
The final energy comes out at -0.2301 Ha/atom. As for the calculated density: 4.13 Mg/m³. As for the magnetization: 9.0 μB per formula unit. The calculation puts the formation energy without anion corrections at -0.116 eV per atom. As for the space group: No. 8.

5.
VASP calculation (PBE) on a relaxed structure of CrSeCl.

Cell: 3.373 5.703 7.067 Å, 99.16 101.93 90.01°
Positions (direct):
Cr 0.246 0.303 0.491
Cr 0.754 0.697 0.509
Se 0.355 0.635 0.743
Se 0.645 0.365 0.257
Cl 0.172 0.879 0.320
Cl 0.828 0.121 0.680

Output
The final energy comes out at -0.2066 Ha/atom. As for the calculated density: 4.21 Mg/m³. As for the magnetization: 1.0 μB per formula unit. The calculation puts the formation energy without anion corrections at -0.636 eV per atom. As for the space group: No. 2.

6.
VASP calculation (PBE) on a relaxed structure of CrSeCl3.

Cell: 4.640 4.640 4.640 Å, 90.00 90.00 90.00°
Positions (direct):
Cr 0.000 0.000 0.000
Se 0.500 0.500 0.500
Cl 0.000 0.000 0.500
Cl 0.000 0.500 0.000
Cl 0.500 0.000 0.000

Output
The final energy comes out at -0.1329 Ha/atom. As for the calculated density: 3.94 Mg/m³. As for the magnetization: 0.0 μB per formula unit. The calculation puts the formation energy without anion corrections at 0.114 eV per atom. As for the space group: No. 221.

7.
VASP calculation (PBE) on a relaxed structure of CrSe2Cl.

Cell: 2.886 2.886 10.249 Å, 90.00 90.00 90.00°
Positions (direct):
Cr 0.000 0.000 0.000
Se 0.000 0.000 0.487
Se 0.500 0.500 0.145
Cl 0.500 0.500 0.852

Output
The final energy comes out at -0.1700 Ha/atom. As for the calculated density: 4.77 Mg/m³. As for the magnetization: 0.7 μB per formula unit. The calculation puts the formation energy without anion corrections at -0.016 eV per atom. As for the space group: No. 99.

8.
VASP calculation (PBE) on a relaxed structure of CrSeCl2.

Cell: 9.792 9.792 9.792 Å, 19.64 19.64 19.64°
Positions (direct):
Cr 0.000 0.000 0.000
Se 0.500 0.500 0.500
Cl 0.282 0.282 0.282
Cl 0.718 0.718 0.718

Output
The final energy comes out at -0.1652 Ha/atom. As for the calculated density: 3.61 Mg/m³. As for the magnetization: 3.6 μB per formula unit. The calculation puts the formation energy without anion corrections at -0.296 eV per atom. As for the space group: No. 166.

9.
VASP calculation (PBE) on a relaxed structure of CrSeCl.

Cell: 3.548 3.548 6.736 Å, 95.89 95.89 60.02°
Positions (direct):
Cr 0.000 0.000 0.000
Se 0.307 0.307 0.795
Cl 0.695 0.695 0.217

Output
The final energy comes out at -0.2131 Ha/atom. As for the calculated density: 3.79 Mg/m³. As for the magnetization: 3.0 μB per formula unit. The calculation puts the formation energy without anion corrections at -0.813 eV per atom. As for the space group: No. 8.

10.
VASP calculation (PBE) on a relaxed structure of CrSeCl2.

Cell: 3.937 3.937 8.061 Å, 92.50 92.50 54.82°
Positions (direct):
Cr 0.000 0.000 0.000
Se 0.673 0.673 0.168
Cl 0.345 0.345 0.837
Cl 0.548 0.548 0.422

Output
The final energy comes out at -0.1718 Ha/atom. As for the calculated density: 3.29 Mg/m³. As for the magnetization: 4.0 μB per formula unit. The calculation puts the formation energy without anion corrections at -0.474 eV per atom. As for the space group: No. 8.

11.
VASP calculation (PBE) on a relaxed structure of CrSe2Cl.

Cell: 5.025 5.025 4.059 Å, 90.00 90.00 120.60°
Positions (direct):
Cr 0.000 0.000 0.000
Se 0.000 0.500 0.500
Se 0.500 0.000 0.500
Cl 0.500 0.500 0.000

Output
The final energy comes out at -0.1620 Ha/atom. As for the calculated density: 4.62 Mg/m³. As for the magnetization: 3.0 μB per formula unit. The calculation puts the formation energy without anion corrections at 0.201 eV per atom. As for the space group: No. 65.

12.
VASP calculation (PBE) on a relaxed structure of CrSeCl2.

Cell: 7.043 7.043 5.533 Å, 112.65 112.65 24.85°
Positions (direct):
Cr 0.000 0.000 0.000
Se 0.500 0.500 0.500
Cl 0.359 0.359 0.862
Cl 0.641 0.641 0.138

Output
The final energy comes out at -0.1681 Ha/atom. As for the calculated density: 3.16 Mg/m³. As for the magnetization: 2.9 μB per formula unit. The calculation puts the formation energy without anion corrections at -0.373 eV per atom. As for the space group: No. 12.

13.
VASP calculation (PBE) on a relaxed structure of Cr2SeCl.

Cell: 3.297 3.297 7.099 Å, 90.00 90.00 90.00°
Positions (direct):
Cr 0.000 0.000 0.000
Cr 0.500 0.500 0.225
Se 0.000 0.000 0.360
Cl 0.500 0.500 0.841

Output
The final energy comes out at -0.2287 Ha/atom. As for the calculated density: 4.70 Mg/m³. As for the magnetization: 6.1 μB per formula unit. The calculation puts the formation energy without anion corrections at -0.078 eV per atom. As for the space group: No. 99.

14.
VASP calculation (PBE) on a relaxed structure of Cr2SeCl.

Cell: 7.007 7.007 7.007 Å, 129.06 129.06 74.92°
Positions (direct):
Cr 0.112 0.625 0.987
Cr 0.375 0.362 0.487
Cr 0.638 0.125 0.013
Cr 0.875 0.888 0.513
Se 0.000 0.000 0.000
Se 0.750 0.250 0.500
Cl 0.250 0.750 0.500
Cl 0.500 0.500 0.000

Output
The final energy comes out at -0.2305 Ha/atom. As for the calculated density: 3.59 Mg/m³. As for the magnetization: 9.0 μB per formula unit. The calculation puts the formation energy without anion corrections at -0.127 eV per atom. As for the space group: No. 122.

15.
VASP calculation (PBE) on a relaxed structure of CrSeCl2.

Cell: 3.715 3.715 7.851 Å, 90.00 90.00 90.00°
Positions (direct):
Cr 0.000 0.000 0.000
Se 0.500 0.500 0.942
Cl 0.000 0.000 0.280
Cl 0.500 0.500 0.655

Output
The final energy comes out at -0.1644 Ha/atom. As for the calculated density: 3.09 Mg/m³. As for the magnetization: 4.0 μB per formula unit. The calculation puts the formation energy without anion corrections at -0.274 eV per atom. As for the space group: No. 99.

16.
VASP calculation (PBE) on a relaxed structure of Cr2SeCl.

Cell: 7.036 7.036 7.036 Å, 151.17 150.44 41.76°
Positions (direct):
Cr 0.000 0.000 0.000
Cr 0.717 0.217 0.500
Se 0.155 0.655 0.500
Cl 0.407 0.407 0.000

Output
The final energy comes out at -0.2295 Ha/atom. As for the calculated density: 4.39 Mg/m³. As for the magnetization: 9.0 μB per formula unit. The calculation puts the formation energy without anion corrections at -0.101 eV per atom. As for the space group: No. 44.

17.
VASP calculation (PBE) on a relaxed structure of CrSeCl2.

Cell: 4.607 4.607 4.607 Å, 60.00 60.00 60.00°
Positions (direct):
Cr 0.000 0.000 0.000
Se 0.500 0.500 0.500
Cl 0.250 0.250 0.250
Cl 0.750 0.750 0.750

Output
The final energy comes out at -0.1233 Ha/atom. As for the calculated density: 4.85 Mg/m³. As for the magnetization: 0.0 μB per formula unit. The calculation puts the formation energy without anion corrections at 0.845 eV per atom. As for the space group: No. 225.

18.
VASP calculation (PBE) on a relaxed structure of Cr2Se2Cl.

Cell: 6.545 6.545 6.545 Å, 147.87 133.25 57.86°
Positions (direct):
Cr 0.168 0.168 0.000
Cr 0.832 0.832 0.000
Se 0.317 0.817 0.500
Se 0.683 0.183 0.500
Cl 0.000 0.500 0.500

Output
The final energy comes out at -0.2265 Ha/atom. As for the calculated density: 4.58 Mg/m³. As for the magnetization: 7.0 μB per formula unit. The calculation puts the formation energy without anion corrections at -0.551 eV per atom. As for the space group: No. 71.

19.
VASP calculation (PBE) on a relaxed structure of Cr2SeCl.

Cell: 4.597 4.597 6.990 Å, 123.64 123.64 38.81°
Positions (direct):
Cr 0.214 0.214 0.368
Cr 0.786 0.786 0.632
Se 0.000 0.000 0.500
Cl 0.500 0.500 0.000

Output
The final energy comes out at -0.2258 Ha/atom. As for the calculated density: 4.84 Mg/m³. As for the magnetization: 0.0 μB per formula unit. The calculation puts the formation energy without anion corrections at -0.001 eV per atom. As for the space group: No. 12.

20.
VASP calculation (PBE) on a relaxed structure of Cr2SeCl.

Cell: 9.115 9.115 9.115 Å, 20.72 20.72 20.72°
Positions (direct):
Cr 0.000 0.000 0.000
Cr 0.257 0.257 0.257
Se 0.724 0.724 0.724
Cl 0.531 0.531 0.531

Output
The final energy comes out at -0.2320 Ha/atom. As for the calculated density: 4.37 Mg/m³. As for the magnetization: 1.0 μB per formula unit. The calculation puts the formation energy without anion corrections at -0.168 eV per atom. As for the space group: No. 160.